OsCO2F | the Alexandria database | SCAN | PBEsol geometry; E_form (uncorrected) = 3.21 eV per formula unit
1.0
3.7509 0.0000 0.0000
0.0000 3.7509 0.0000
0.0000 0.0000 4.1204
O Os C F
2 1 1 1
Direct
0.0000 0.5000 0.0000
0.5000 0.0000 0.0000
0.0000 0.0000 0.0000
0.5000 0.5000 0.5000
0.0000 0.0000 0.5000

ErBiPd | the Alexandria database | SCAN | PBEsol geometry; energy of formation = -1.103 eV/atom
1.0
4.6556 0.0000 0.0000
2.3278 4.0318 0.0000
2.3278 1.3439 3.8012
Bi Pd Er
1 1 1
Direct
0.0000 0.0000 0.0000
0.7500 0.7500 0.7500
0.5000 0.5000 0.5000

ZrNi2SeBr | the Alexandria database | SCAN | PBEsol geometry; E_form (uncorrected) = 2.69 eV per formula unit
1.0
4.1625 0.0000 0.0000
0.0000 4.1625 0.0000
0.0000 0.0000 5.8377
Ni Zr Se Br
2 1 1 1
Direct
0.0000 0.5000 0.0000
0.5000 0.0000 0.0000
0.5000 0.5000 0.5000
0.0000 0.0000 0.0000
0.0000 0.0000 0.5000

SrMg2Cu | the Alexandria database | SCAN | PBEsol geometry; energy of formation = 0.037 eV/atom
1.0
3.3462 0.0000 0.0000
0.0000 3.3462 0.0000
0.0000 0.0000 8.3588
Mg Cu Sr
2 1 1
Direct
0.0000 0.0000 0.3242
0.0000 0.0000 0.6758
0.5000 0.5000 0.5000
0.5000 0.5000 0.0000

K2SiTe | the Alexandria database | SCAN | PBEsol geometry; E_form (uncorrected) = -0.22 eV per formula unit; excess energy over the best structure of this formula in the dataset = 21.2 meV per atom
1.0
3.3345 0.0000 0.0000
0.0000 3.3345 0.0000
0.0000 0.0000 10.3254
K Te Si
2 1 1
Direct
0.0000 0.0000 0.2449
0.0000 0.0000 0.7551
0.5000 0.5000 0.5000
0.5000 0.5000 0.0000

TaRe2Ag | the Alexandria database | SCAN | PBEsol geometry; energy of formation = 0.357 eV/atom; excess energy over the best structure of this formula in the dataset = 0.0 meV per atom
1.0
-2.3793 -2.0247 0.4508
1.1430 -0.3892 4.2846
-2.1116 4.6465 -1.3271
Ag Re Ta
1 2 1
Direct
0.0000 0.5000 0.0000
0.2368 0.2368 0.4737
0.7632 0.7632 0.5263
0.5000 0.0000 0.0000

no.,DFT total energy (eV/cell),density (g cm⁻³)
1,-94.78,7.254
2,-165.00,11.233
3,-99.90,6.033
4,-47.27,3.544
5,-64.14,3.383
6,-238.72,17.316